A plane-wave DFT calculation with GGA-PBEsol was carried out for a geometry-optimized Na2NbInSb structure.

Properties
Magnetic moment = 0.97 μB per atom
Symmetry = No. 123
D(E_F) = 1.623 states/eV per atom
Energy relative to the elements, uncorrected = 1.116 eV per atom

abc: 5.5441 5.5441 5.6185
angles: 90.00 90.00 90.00
Last column: nearest neighbours and their distance in Å.
Element x y z (fractional)
1 Na 0.0000 0.5000 0.0000  2 Sb 2.77
2 Na 0.5000 0.0000 0.0000  2 Sb 2.77
3 Nb 0.0000 0.0000 0.5000  4 In 3.92, 8 Na 3.95
4 In 0.5000 0.5000 0.5000  2 Sb 2.81
5 Sb 0.5000 0.5000 0.0000  4 Na 2.77, 2 In 2.81